No. 1
Computed, not measured: a relaxed structure of Y19Tm4Th6 at the PBE-GGA level of DFT.

Lattice parameters (Å, degrees): 10.8049 10.8049 10.8049 109.47 109.47 109.47
Element x y z (fractional)
1 Y 0.2642 0.0000 0.2642
2 Y 0.2125 0.5374 0.1930
3 Y 0.8070 0.3444 0.0195
4 Y 0.7875 0.9805 0.3249
5 Y 0.0000 0.7358 0.7358
6 Y 0.9805 0.3249 0.7875
7 Y 0.1930 0.2125 0.5374
8 Y 0.6751 0.6556 0.4626
9 Y 0.3249 0.7875 0.9805
10 Y 0.5374 0.1930 0.2125
11 Y 0.2642 0.2642 0.0000
12 Y 0.0195 0.8070 0.3444
13 Y 0.0000 0.0000 0.0000
14 Y 0.3444 0.0195 0.8070
15 Y 0.6556 0.4626 0.6751
16 Y 0.7358 0.7358 0.0000
17 Y 0.4626 0.6751 0.6556
18 Y 0.7358 0.0000 0.7358
19 Y 0.0000 0.2642 0.2642
20 Th 0.6287 0.5000 0.1287
21 Th 0.8713 0.3713 0.5000
22 Th 0.5000 0.8713 0.3713
23 Th 0.1287 0.6287 0.5000
24 Th 0.5000 0.1287 0.6287
25 Th 0.3713 0.5000 0.8713
26 Tm 0.0000 0.0000 0.6447
27 Tm 0.6447 0.0000 0.0000
28 Tm 0.0000 0.6447 0.0000
29 Tm 0.3553 0.3553 0.3553

DFT formation energy (eV per atom): 0.4238
Symmetry: No. 197

No. 2
Computed, not measured: a relaxed structure of SrCuSi2 at the PBE-GGA level of DFT.

Lattice parameters (Å, degrees): 5.4940 5.4940 2.8185 90.04 90.04 115.92
Element x y z (fractional)
1 Si 0.5000 0.5000 0.0000
2 Si 0.0000 0.0000 0.0000
3 Sr 0.5000 0.0000 0.5000
4 Cu 0.0000 0.5000 0.5000

Uncorrected formation energy (eV/atom): 0.37
Symmetry: No. 65